1.
Entry from Alexandria: a geometry-optimized CoIr2Br structure (PBE).

Output
The raw formation energy comes out at 0.71 eV per atom. The polymorph energy (0 for the lowest one) is 0.183 eV per atom. The value obtained for the total moment is 2.167 Bohr magnetons per cell. The mass density is 13.93 Mg/m³.

```
data_CoIr2Br
_chemical_formula_sum 'Co2 Ir4 Br2'
_cell_length_a 11.132
_cell_length_b 2.789
_cell_length_c 4.082
_cell_angle_alpha 90.00
_cell_angle_beta 100.03
_cell_angle_gamma 90.00
_symmetry_space_group_name_H-M 'C 1 2/m 1'
_symmetry_Int_Tables_number 12
_symmetry_space_group_name_Hall '-C 2y'
loop_
_atom_site_label
_atom_site_fract_x
_atom_site_fract_y
_atom_site_fract_z
Co1 0.000 0.000 0.000
Ir1 0.204 0.500 0.223
Br1 0.000 0.500 0.500
```

=====

2.
Entry from Alexandria: a geometry-optimized CoIr2Br structure (PBE).

Output
The raw formation energy comes out at 0.68 eV per atom. The polymorph energy (0 for the lowest one) is 0.150 eV per atom. The value obtained for the total moment is 1.862 Bohr magnetons per cell. The mass density is 11.20 Mg/m³.

```
data_CoIr2Br
_chemical_formula_sum 'Co1 Ir2 Br1'
_cell_length_a 2.667
_cell_length_b 3.679
_cell_length_c 7.910
_cell_angle_alpha 90.00
_cell_angle_beta 90.00
_cell_angle_gamma 90.00
_symmetry_space_group_name_H-M 'P m m 2'
_symmetry_Int_Tables_number 25
_symmetry_space_group_name_Hall 'P 2 -2'
loop_
_atom_site_label
_atom_site_fract_x
_atom_site_fract_y
_atom_site_fract_z
Co1 0.000 0.000 0.000
Ir1 0.000 0.000 0.322
Ir2 0.500 0.500 0.164
Br1 0.500 0.500 0.702
```